Density functional theory data (GGA-PBE) for an optimized crystal structure of HfNbCr2Co.

Cell: 4.555 4.555 5.081 Å, 90.00 90.00 90.00°
Sites, in units of the cell vectors:
Hf 0.000 0.000 0.000
Nb 0.000 0.000 0.500
Cr 0.000 0.500 0.500
Cr 0.500 0.000 0.500
Co 0.500 0.500 0.000

Properties
- SG: P4/mmm (123)
- Calculated volume: 21.08 Å³ per atom
- Total DFT energy (no corrections): -7.60 eV/atom
- Magnetic moment: 6.824 μB/cell

Density functional theory data (GGA-PBE) for an optimized crystal structure of Tl2HgGeTe4.

Cell: 7.060 7.060 7.060 Å, 105.12 105.12 118.58°
Sites, in units of the cell vectors:
Tl 0.000 0.500 0.500
Tl 0.500 0.000 0.500
Hg 0.000 0.000 0.000
Ge 0.500 0.500 0.000
Te 0.104 0.451 0.000
Te 0.451 0.104 0.000
Te 0.549 0.549 0.652
Te 0.896 0.896 0.348

Properties
- SG: I-42m (121)
- Formation energy without anion corrections: -192 meV per atom
- Calculated volume: 33.22 Å³ per atom
- Magnetic moment: 0.000 μB/cell